No. 1
Below is crystalline Zr3BiPb at its relaxed geometry, with properties calculated at the GGA-PBEsol level.

Summary:
E_tot   -31.03 eV for the cell shown
Formation energy from the elements   4.53 eV per formula unit
Symmetry   Pm-3m (221)

abc: 5.314 5.314 5.314
angles: 90.00 90.00 90.00
Sites, in units of the cell vectors:
Zr1 0.000 0.500 0.000
Zr2 0.500 0.000 0.000
Zr3 0.000 0.000 0.500
Bi1 0.500 0.500 0.500
Pb1 0.000 0.000 0.000


No. 2
Below is crystalline BaZn2Sb at its relaxed geometry, with properties calculated at the GGA-PBEsol level.

Summary:
Uncorrected formation energy   -0.2869 eV per atom
E_tot   -11.02 eV for the cell shown
Symmetry   P2/m (10)

abc: 4.848 4.894 5.015
angles: 89.98 90.00 90.00
Sites, in units of the cell vectors:
Zn1 0.000 0.509 0.759
Zn2 0.000 0.491 0.241
Ba1 0.500 0.000 0.000
Sb1 0.500 0.500 0.500


No. 3
Below is crystalline BaY2Au at its relaxed geometry, with properties calculated at the GGA-PBEsol level.

Summary:
E_tot   -19.75 eV for the cell shown
Formation energy from the elements   -0.03 eV per formula unit
Symmetry   P4/mmm (123)

abc: 4.758 4.758 5.075
angles: 90.00 90.00 90.00
Sites, in units of the cell vectors:
Au1 0.500 0.500 0.500
Ba1 0.000 0.000 0.500
Y1 0.000 0.500 0.000
Y2 0.500 0.000 0.000


No. 4
Below is crystalline TePbI2N at its relaxed geometry, with properties calculated at the GGA-PBEsol level.

Summary:
Uncorrected formation energy   0.9260 eV per atom
E_tot   -14.95 eV for the cell shown
Symmetry   P4/mmm (123)

abc: 4.010 6.143 6.143
angles: 90.00 90.00 90.00
Each line ends with the local moment (μB).
Sites, in units of the cell vectors:
Pb1 0.000 0.000 0.000  0.00
I1 0.000 0.000 0.500  0.01
I2 0.000 0.500 0.000  0.01
N1 0.500 0.000 0.000  0.16
Te1 0.500 0.500 0.500  0.00


No. 5
Below is crystalline SmAlPt at its relaxed geometry, with properties calculated at the GGA-PBEsol level.

Summary:
E_tot   -77.62 eV for the cell shown
Formation energy from the elements   -3.26 eV per formula unit
Symmetry   Pnma (62)

abc: 4.405 6.997 7.733
angles: 90.00 90.00 90.00
Sites, in units of the cell vectors:
Sm1 0.250 0.028 0.318
Sm2 0.750 0.472 0.818
Sm3 0.750 0.972 0.682
Sm4 0.250 0.528 0.182
Pt1 0.750 0.222 0.112
Pt2 0.250 0.778 0.888
Pt3 0.250 0.278 0.612
Pt4 0.750 0.722 0.388
Al1 0.250 0.145 0.933
Al2 0.750 0.355 0.433
Al3 0.250 0.645 0.567
Al4 0.750 0.855 0.067


No. 6
Below is crystalline MgCo2Rh at its relaxed geometry, with properties calculated at the GGA-PBEsol level.

Summary:
E_tot   -24.75 eV for the cell shown
Formation energy from the elements   0.58 eV per formula unit
Symmetry   P4/mmm (123)

abc: 2.847 4.204 4.204
angles: 90.00 90.00 90.00
Each line ends with the local moment (μB).
Sites, in units of the cell vectors:
Co1 0.000 0.000 0.500  1.40
Co2 0.000 0.500 0.000  1.40
Rh1 0.500 0.000 0.000  0.70
Mg1 0.500 0.500 0.500  -0.03


No. 7
Below is crystalline TaCd2Sb at its relaxed geometry, with properties calculated at the GGA-PBEsol level.

Summary:
Uncorrected formation energy   0.5257 eV per atom
E_tot   -17.40 eV for the cell shown
Symmetry   F-43m (216)

abc: 4.881 4.881 4.881
angles: 60.00 60.00 60.00
Sites, in units of the cell vectors:
Ta1 0.250 0.250 0.250
Sb1 0.500 0.500 0.500
Cd1 0.000 0.000 0.000
Cd2 0.750 0.750 0.750


No. 8
Below is crystalline TlPtBr2 at its relaxed geometry, with properties calculated at the GGA-PBEsol level.

Summary:
Uncorrected formation energy   0.1191 eV per atom
E_tot   -12.86 eV for the cell shown
Symmetry   P4mm (99)

abc: 3.874 3.874 7.481
angles: 90.00 90.00 90.00
Sites, in units of the cell vectors:
Tl1 0.500 0.500 0.630
Br1 0.500 0.500 0.273
Br2 0.000 0.000 0.956
Pt1 0.000 0.000 0.642


No. 9
Below is crystalline Ba2VN3 at its relaxed geometry, with properties calculated at the GGA-PBEsol level.

Summary:
Uncorrected formation energy   -1.1700 eV per atom
E_tot   -186.13 eV for the cell shown
Symmetry   Cmce (64)

abc: 5.850 6.475 12.928
angles: 90.00 90.00 116.85
Sites, in units of the cell vectors:
Ba1 0.641 0.283 0.079
Ba2 0.556 0.112 0.645
Ba3 0.444 0.888 0.355
Ba4 0.359 0.717 0.921
Ba5 0.944 0.888 0.145
Ba6 0.056 0.112 0.855
Ba7 0.859 0.717 0.579
Ba8 0.141 0.283 0.421
N1 0.333 0.666 0.556
N2 0.975 0.451 0.250
N3 0.525 0.549 0.750
N4 0.906 0.811 0.367
N5 0.167 0.334 0.056
N6 0.406 0.811 0.133
N7 0.094 0.189 0.633
N8 0.833 0.666 0.944
N9 0.594 0.189 0.867
N10 0.475 0.451 0.250
N11 0.667 0.334 0.444
N12 0.025 0.549 0.750
V1 0.756 0.512 0.333
V2 0.244 0.488 0.667
V3 0.744 0.488 0.833
V4 0.256 0.512 0.167


No. 10
Below is crystalline CaTaRh2 at its relaxed geometry, with properties calculated at the GGA-PBEsol level.

Summary:
E_tot   -30.95 eV for the cell shown
Formation energy from the elements   0.01 eV per formula unit
Symmetry   I-4m2 (119)

abc: 3.807 3.807 5.352
angles: 110.83 110.83 90.00
Sites, in units of the cell vectors:
Ta1 0.500 0.500 0.000
Ca1 0.250 0.750 0.500
Rh1 0.750 0.250 0.500
Rh2 0.000 0.000 0.000


No. 11
Below is crystalline Sb2O5 at its relaxed geometry, with properties calculated at the GGA-PBEsol level.

Summary:
Uncorrected formation energy   -1.2380 eV per atom
E_tot   -176.11 eV for the cell shown
Symmetry   P2_1/c (14)

abc: 4.892 8.247 10.498
angles: 117.29 90.00 90.00
Sites, in units of the cell vectors:
O1 0.206 0.887 0.482
O2 0.268 0.516 0.294
O3 0.791 0.831 0.610
O4 0.702 0.215 0.812
O5 0.291 0.669 0.890
O6 0.232 0.016 0.794
O7 0.706 0.613 0.018
O8 0.298 0.785 0.188
O9 0.780 0.436 0.419
O10 0.709 0.331 0.110
O11 0.720 0.936 0.919
O12 0.794 0.113 0.518
O13 0.280 0.064 0.081
O14 0.732 0.484 0.706
O15 0.798 0.715 0.312
O16 0.768 0.984 0.206
O17 0.294 0.387 0.982
O18 0.220 0.564 0.581
O19 0.209 0.169 0.390
O20 0.202 0.285 0.688
Sb1 0.482 0.144 0.956
Sb2 0.488 0.442 0.830
Sb3 0.512 0.558 0.170
Sb4 0.012 0.942 0.330
Sb5 0.518 0.856 0.044
Sb6 0.018 0.644 0.456
Sb7 0.982 0.356 0.544
Sb8 0.988 0.058 0.670


No. 12
Below is crystalline Mn2AlTe at its relaxed geometry, with properties calculated at the GGA-PBEsol level.

Summary:
Uncorrected formation energy   0.2726 eV per atom
E_tot   -26.05 eV for the cell shown
Symmetry   Pmmm (47)

abc: 3.687 3.893 4.322
angles: 90.00 90.00 90.00
Each line ends with the local moment (μB).
Sites, in units of the cell vectors:
Al1 0.500 0.000 0.500  -0.07
Mn1 0.000 0.000 0.000  2.88
Mn2 0.000 0.500 0.500  2.77
Te1 0.500 0.500 0.000  -0.01